# CeNpAs2, optimized geometry, DFT PBE-GGA
data_CeNpAs2
_chemical_formula_sum 'Ce4 Np4 As8'
_symmetry_space_group_name_H-M 'C m c m'
_symmetry_Int_Tables_number 63
_symmetry_space_group_name_Hall '-C 2c 2'
_cell_length_a 4.007
_cell_length_b 23.173
_cell_length_c 4.323
_cell_angle_alpha 90.00
_cell_angle_beta 90.00
_cell_angle_gamma 90.00
loop_
_atom_site_label
_atom_site_type_symbol
_atom_site_fract_x
_atom_site_fract_y
_atom_site_fract_z
Ce1 Ce 0.000 0.062 0.250
Np1 Np 0.000 0.313 0.250
As1 As 0.000 0.188 0.250
As2 As 0.000 0.441 0.250
# Total energy in eV/atom: -7.990
# DOS at the Fermi energy in states/eV/f.u.: 13.11
# ΔE_f in eV/f.u.: -3.79